[1]
DFT (PBE) results for crystalline LaSm5Hg6 at its relaxed geometry.

The calculation puts the formation energy at -0.4745 eV per atom. For the volume, the calculation gives 333.0 Å³/f.u. The calculation puts the energy at -3.00 eV per atom.

The structure belongs to space group P2/m (No. 10); the cell edges are 5.3761, 7.6698 and 8.5009 Å and the angles 90.00°, 108.21° and 90.00°. Symmetry generates all atoms from La at (0.0000, 0.0000, 0.0000), Sm at (0.0000, 0.5000, 0.0000), Sm at (0.3318, 0.0000, 0.6656), Sm at (0.3341, 0.5000, 0.6705), Hg at (0.1715, 0.2546, 0.3400) and Hg at (0.5000, 0.2562, 0.0000).



[2]
DFT (PBE) results for crystalline LaSmHg2 at its relaxed geometry.

The calculation puts the formation energy at -0.3287 eV per atom. For the volume, the calculation gives 124.8 Å³/f.u. The calculation puts the energy at -2.89 eV per atom.

The structure belongs to space group R3m (No. 160, hexagonal axes); the cell edges are 3.9411, 3.9411 and 27.8223 Å and the angles 90.00°, 90.00° and 120.00°. Symmetry generates all atoms from La at (0.0000, 0.0000, 0.0000), Sm at (0.0000, 0.0000, 0.1666), Hg at (0.0000, 0.0000, 0.4192) and Hg at (0.0000, 0.0000, 0.5806).



[3]
DFT (PBE) results for crystalline LaSm3Hg6 at its relaxed geometry.

The calculation puts the formation energy at -0.4467 eV per atom. For the volume, the calculation gives 271.7 Å³/f.u. The calculation puts the energy at -2.54 eV per atom.

The structure belongs to space group P2_1/m (No. 11); the cell edges are 9.4370, 5.2765 and 11.4326 Å and the angles 90.00°, 107.37° and 90.00°. Symmetry generates all atoms from La at (0.0670, 0.2500, 0.3821), Sm at (0.2269, 0.2500, 0.0035), Sm at (0.3531, 0.7500, 0.8032), Sm at (0.4936, 0.2500, 0.6144), Hg at (0.0620, 0.7500, 0.9084), Hg at (0.1411, 0.7500, 0.2052), Hg at (0.1737, 0.2500, 0.6891), Hg at (0.2510, 0.7500, 0.5186), Hg at (0.3545, 0.2500, 0.2895) and Hg at (0.4621, 0.7500, 0.0929).



What is the energy in the second record? -2.89 eV per atom



What is the energy in the third record? -2.54 eV per atom